# 1
This record from the Alexandria database describes an optimized crystal structure of PmLuZnGa. The functional is PBE.

The structure belongs to space group F-43m (No. 216); the cell edges are 7.1718, 7.1718 and 7.1718 Å and the angles 90.00°, 90.00° and 90.00°. The inequivalent atoms are Pm at (0.0000, 0.0000, 0.0000), Lu at (0.0000, 0.0000, 0.5000), Zn at (0.2500, 0.2500, 0.2500) and Ga at (0.2500, 0.2500, 0.7500).



# 2
This record from the Alexandria database describes an optimized crystal structure of PrLuGa4. The functional is PBE.

The structure belongs to space group F-43m (No. 216); the cell edges are 7.8708, 7.8708 and 7.8708 Å and the angles 90.00°, 90.00° and 90.00°. The inequivalent atoms are Pr at (0.0000, 0.0000, 0.0000), Lu at (0.2500, 0.2500, 0.7500) and Ga at (0.1248, 0.1248, 0.3752).



Calculated total energy (eV per atom)
-3.847; -4.073
ΔH_f (0 K) (eV/f.u.)
-1.815; -3.031